This record from Alexandria describes a relaxed VBrO2F crystal. The functional is GGA+U.

The structure belongs to space group P4/mmm (No. 123); the cell edges are 3.8813, 3.8813 and 4.0473 Å and the angles 90.00°, 90.00° and 90.00°. Symmetry generates all atoms from V at (0.0000, 0.0000, 0.0000), Br at (0.5000, 0.5000, 0.5000), O at (0.0000, 0.5000, 0.0000) and F at (0.0000, 0.0000, 0.5000).

Its total energy is -5.06 eV/atom. For the volume, the calculation gives 61.0 Å³ per cell.